# 1
This record from Alexandria via LeMat-Bulk describes TaTe2Ir at its PBEsol-relaxed geometry. The functional is meta-GGA SCAN.

Summary:
Space group: P4/mmm, No. 123
Energy relative to the elements, uncorrected, eV per atom: 0.331

```
4
Lattice="3.474 0.000 0.000 0.000 4.628 0.000 0.000 0.000 4.628" Properties=species:S:1:pos:R:3 pbc="T T T"
Ir 1.737 2.314 2.314
Ta 1.737 0.000 0.000
Te 0.000 0.000 2.314
Te 0.000 2.314 0.000
```

***

# 2
This record from Alexandria via LeMat-Bulk describes Ta2TeIr at its PBEsol-relaxed geometry. The functional is meta-GGA SCAN.

Summary:
Space group: C2/m, No. 12
Energy relative to the elements, uncorrected, eV per atom: 0.059

```
4
Lattice="3.122 0.000 0.000 0.000 4.729 -0.024 -1.561 -0.826 4.775" Properties=species:S:1:pos:R:3 pbc="T T T"
Ir 0.000 2.364 -0.012
Ta 0.000 0.857 2.440
Ta 1.561 3.045 2.311
Te 1.561 0.000 0.000
```

***

# 3
This record from Alexandria via LeMat-Bulk describes Ta2TeIr at its PBEsol-relaxed geometry. The functional is meta-GGA SCAN.

Summary:
Space group: F-43m, No. 216
Energy relative to the elements, uncorrected, eV per atom: 0.285

```
4
Lattice="4.637 0.000 0.000 2.318 4.015 0.000 2.318 1.338 3.786" Properties=species:S:1:pos:R:3 pbc="T T T"
Ir 4.637 2.677 1.893
Ta 0.000 0.000 0.000
Ta 6.955 4.015 2.839
Te 2.318 1.338 0.946
```

***

# 4
This record from Alexandria via LeMat-Bulk describes TaTe2Ir at its PBEsol-relaxed geometry. The functional is meta-GGA SCAN.

Summary:
Space group: Immm, No. 71
Energy relative to the elements, uncorrected, eV per atom: -0.183

```
4
Lattice="3.710 0.000 0.000 0.000 4.033 0.000 -1.855 -2.016 6.737" Properties=species:S:1:pos:R:3 pbc="T T T"
Ir 0.000 2.016 0.000
Ta 1.855 0.000 0.000
Te 1.855 2.016 1.975
Te 0.000 0.000 4.762
```

***

no.,total magnetization (μB/f.u.),Fermi-level density of states (states/eV/f.u.)
1,0.00,2.4
2,0.00,1.9
3,0.00,3.8
4,0.00,2.2